Below is an optimized crystal structure of LaHgSO6, with properties calculated at the PBE-GGA level. Values from VASP.

Results
The calculation puts the raw total energy at -5.886 eV per atom. Its symmetry is No. 1. Its uncorrected formation energy is -1541 meV/atom. The value obtained for the density of states at the Fermi level is 0.07 states/eV/atom.

Cell and atoms, written as Quantum ESPRESSO input:
```
&SYSTEM
  ibrav = 0, nat = 9, ntyp = 4
/
ATOMIC_SPECIES
La 138.91 La.upf
Hg 200.59 Hg.upf
S 32.06 S.upf
O 16.00 O.upf
ATOMIC_POSITIONS crystal
La 0.000 0.000 0.000
Hg 0.569 0.059 0.469
S 0.063 0.576 0.343
O 0.175 0.731 0.593
O 0.265 0.410 0.182
O 0.495 0.955 0.112
O 0.706 0.128 0.798
O 0.838 0.414 0.353
O 0.972 0.747 0.236
CELL_PARAMETERS angstrom
4.982 0.000 0.000
-0.126 5.974 0.000
-0.142 -2.612 5.524
```